Record 1
## SrAgRh (PBE-GGA)

Data for crystalline SrAgRh at its relaxed geometry.

It has space group F-43m (No. 216), with a = 6.817 Å, b = 6.817 Å, c = 6.817 Å, α = 90.00°, β = 90.00° and γ = 90.00°. The distinct sites, in fractional coordinates, are Sr at (0.000, 0.000, 0.000), Ag at (0.250, 0.250, 0.750) and Rh at (0.250, 0.250, 0.250).

The total energy comes out at -3.373 eV per atom. The energy of formation from the pure elements comes out at 588 meV per atom. The calculation puts the relative energy among the computed polymorphs at 817 meV/atom.



Record 2
## Tl2VMo (PBE-GGA)

Data for crystalline Tl2VMo at its relaxed geometry.

It has space group Fm-3m (No. 225), with a = 6.790 Å, b = 6.790 Å, c = 6.790 Å, α = 90.00°, β = 90.00° and γ = 90.00°. The distinct sites, in fractional coordinates, are Tl at (0.250, 0.250, 0.250), V at (0.000, 0.000, 0.000) and Mo at (0.000, 0.000, 0.500).

The total energy comes out at -5.412 eV per atom. The energy of formation from the pure elements comes out at 759 meV per atom. The calculation puts the relative energy among the computed polymorphs at 0 meV/atom.



Record 3
## LiTa5Os6 (PBE-GGA)

Data for crystalline LiTa5Os6 at its relaxed geometry.

It has space group Immm (No. 71), with a = 4.470 Å, b = 6.294 Å, c = 13.377 Å, α = 90.00°, β = 90.00° and γ = 90.00°. The distinct sites, in fractional coordinates, are Li at (0.000, 0.000, 0.000), Ta at (0.000, 0.000, 0.337), Ta at (0.000, 0.500, 0.000), Ta at (0.000, 0.500, 0.335), Os at (0.000, 0.247, 0.167) and Os at (0.000, 0.255, 0.500).

The total energy comes out at -11.008 eV per atom. The energy of formation from the pure elements comes out at -296 meV per atom.



Record 4
## Nd6Te4P (PBE-GGA)

Data for crystalline Nd6Te4P at its relaxed geometry.

It has space group P4/mnc (No. 128), with a = 8.469 Å, b = 8.469 Å, c = 9.067 Å, α = 90.00°, β = 90.00° and γ = 90.00°. The distinct sites, in fractional coordinates, are Nd at (0.000, 0.000, 0.195), Nd at (0.136, 0.317, 0.500), Te at (0.147, 0.647, 0.250) and P at (0.000, 0.000, 0.500).

The total energy comes out at -5.461 eV per atom.



Repeat the first record exactly.
## SrAgRh (PBE-GGA)

Data for crystalline SrAgRh at its relaxed geometry.

It has space group F-43m (No. 216), with a = 6.817 Å, b = 6.817 Å, c = 6.817 Å, α = 90.00°, β = 90.00° and γ = 90.00°. The distinct sites, in fractional coordinates, are Sr at (0.000, 0.000, 0.000), Ag at (0.250, 0.250, 0.750) and Rh at (0.250, 0.250, 0.250).

The total energy comes out at -3.373 eV per atom. The energy of formation from the pure elements comes out at 588 meV per atom. The calculation puts the relative energy among the computed polymorphs at 817 meV/atom.